## Sm3CdAu (GGA-PBE)

Data for a geometry-optimized Sm3CdAu structure.

Calculated values
Total moment = 0.00 μB per formula unit
Energy above the lowest structure with this stoichiometry = 0.77 eV per formula unit

Cell: 10.063 16.008 3.918 Å, 90.00 90.00 90.00°
Space group Cmmm (No. 65)
Unique sites:
Sm 0.000 0.160 0.000
Sm 0.198 0.388 0.500
Cd 0.000 0.000 0.500
Cd 0.000 0.500 0.000
Au 0.250 0.250 0.000